No. 1
This record from Alexandria describes a geometry-optimized BC2S structure. The functional is PBE-GGA.

Values from the calculation:
- electronic total energy (eV per formula unit) = -27.681
- energy relative to the lowest polymorph listed for this composition (meV/atom) = 0

Structure (POSCAR):
```
BC2S
1.0
-1.394 -1.918 -0.653
1.474 -1.508 -3.347
3.662 -3.553 3.276
S B C
1 1 2
Cartesian
0.539 -2.008 -2.097 S
2.567 -5.548 0.004 B
1.673 -3.954 1.861 C
2.788 -3.101 1.607 C
```

---

No. 2
This record from Alexandria describes a geometry-optimized BCS2 structure. The functional is PBE-GGA.

Values from the calculation:
- electronic total energy (eV per formula unit) = -19.616
- energy relative to the lowest polymorph listed for this composition (meV/atom) = 0

Structure (POSCAR):
```
BCS2
1.0
-4.697 1.248 3.145
-2.792 3.891 3.252
-4.679 3.346 0.650
S B C
2 1 1
Cartesian
-10.998 7.668 6.369 S
-1.171 0.817 0.678 S
-6.085 4.243 3.524 B
0.000 0.000 0.000 C
```

---

No. 3
This record from Alexandria describes a geometry-optimized BC2S structure. The functional is PBE-GGA.

Values from the calculation:
- electronic total energy (eV per formula unit) = -16.989
- energy relative to the lowest polymorph listed for this composition (meV/atom) = 2673

Structure (POSCAR):
```
BC2S
1.0
0.000 2.559 2.559
2.559 0.000 2.559
2.559 2.559 0.000
S B C
1 1 2
Cartesian
2.559 2.559 2.559 S
0.000 0.000 0.000 B
1.280 1.280 1.280 C
3.839 3.839 3.839 C
```

---

No. 4
This record from Alexandria describes a geometry-optimized BC2S structure. The functional is PBE-GGA.

Values from the calculation:
- electronic total energy (eV per formula unit) = -26.987
- energy relative to the lowest polymorph listed for this composition (meV/atom) = 174

Structure (POSCAR):
```
BC2S
1.0
-3.433 -2.448 2.344
1.646 -2.152 0.163
3.048 2.754 5.573
S B C
2 2 4
Cartesian
-1.737 -1.172 2.058 S
0.610 -0.871 4.926 S
-0.746 -0.130 5.809 B
-1.448 -2.583 3.104 B
-0.309 -0.098 1.825 C
2.039 0.203 4.693 C
1.659 1.593 4.281 C
0.958 -0.860 1.576 C
```

---

no.,spin magnetization (μB per cell)
1,0.0
2,0.0
3,0.0
4,0.0